Computed, not measured: a relaxed Ho4As2PS crystal at the GGA-PBE level of DFT.

a = 6.956 Å, b = 4.024 Å, c = 6.964 Å
α = 90.00°, β = 109.41°, γ = 90.00°
Element x y z (fractional)
Ho  0.245  0.000  0.245
Ho  0.247  0.500  0.753
Ho  0.753  0.500  0.247
Ho  0.755  0.000  0.755
As  0.500  0.000  0.000
As  0.500  0.500  0.500
P  0.000  0.500  0.000
S  0.000  0.000  0.500

- Raw formation energy: -1.70 eV per atom
- Space-group type: No. 10
- DFT total energy: -6.348 eV per atom

Computed, not measured: a relaxed K2PdW2 crystal at the GGA-PBE level of DFT.

a = 3.858 Å, b = 3.858 Å, c = 15.904 Å
α = 90.00°, β = 90.00°, γ = 90.00°
Element x y z (fractional)
K  0.000  0.500  0.250
K  0.000  0.500  0.750
K  0.500  0.000  0.250
K  0.500  0.000  0.750
Pd  0.000  0.000  0.000
Pd  0.500  0.500  0.500
W  0.000  0.000  0.432
W  0.000  0.000  0.568
W  0.500  0.500  0.068
W  0.500  0.500  0.932

- ΔH_f (0 K): 1.734 eV/atom
- Space-group type: No. 139
- Energy above the most stable polymorph in this dataset: 0.118 eV per atom
- DFT total energy: -4.925 eV per atom

Computed, not measured: a relaxed Sc2ZnB2Os5 crystal at the GGA-PBE level of DFT.

a = 9.426 Å, b = 9.426 Å, c = 3.041 Å
α = 90.00°, β = 90.00°, γ = 90.00°
Element x y z (fractional)
Sc  0.176  0.324  0.000
Sc  0.324  0.824  0.000
Sc  0.676  0.176  0.000
Sc  0.824  0.676  0.000
Zn  0.000  0.000  0.000
Zn  0.500  0.500  0.000
B  0.126  0.626  0.000
B  0.374  0.126  0.000
B  0.626  0.874  0.000
B  0.874  0.374  0.000
Os  0.000  0.500  0.500
Os  0.069  0.784  0.500
Os  0.216  0.069  0.500
Os  0.284  0.569  0.500
Os  0.431  0.284  0.500
Os  0.500  0.000  0.500
Os  0.569  0.716  0.500
Os  0.716  0.431  0.500
Os  0.784  0.931  0.500
Os  0.931  0.216  0.500

- ΔH_f (0 K): -0.282 eV/atom
- Space-group type: No. 127
- DFT total energy: -8.626 eV per atom

Computed, not measured: a relaxed TiTl2Pb crystal at the GGA-PBE level of DFT.

a = 7.509 Å, b = 7.509 Å, c = 7.509 Å
α = 90.00°, β = 90.00°, γ = 90.00°
Element x y z (fractional)
Ti  0.000  0.000  0.000
Ti  0.000  0.500  0.500
Ti  0.500  0.000  0.500
Ti  0.500  0.500  0.000
Tl  0.250  0.250  0.250
Tl  0.250  0.250  0.750
Tl  0.250  0.750  0.250
Tl  0.250  0.750  0.750
Tl  0.750  0.250  0.250
Tl  0.750  0.250  0.750
Tl  0.750  0.750  0.250
Tl  0.750  0.750  0.750
Pb  0.000  0.000  0.500
Pb  0.000  0.500  0.000
Pb  0.500  0.000  0.000
Pb  0.500  0.500  0.500

- ΔH_f (0 K): 0.468 eV/atom
- Space-group type: No. 225
- Energy above the most stable polymorph in this dataset: 0.085 eV per atom
- DFT total energy: -3.616 eV per atom